# 1
A plane-wave DFT calculation with PBE was carried out for a relaxed structure of Tm2Ga2Fe15.

Calculated values
Final energy = -7.421 eV per atom

Unit cell a=8.3429 b=8.3429 c=8.3159 alpha=90.00 beta=90.00 gamma=120.00
Closest atoms and distances in Å follow each position.
Element x y z (fractional)
Tm: 0.0000 0.0000 0.2500  12 Fe 2.88-3.10
Tm: 0.0000 0.0000 0.7500  12 Fe 2.88-3.10
Tm: 0.3333 0.6667 0.2500  2 Ga 2.91, 18 Fe 2.91-3.18
Tm: 0.6667 0.3333 0.7500  2 Ga 2.91, 18 Fe 2.91-3.18
Ga: 0.3333 0.6667 0.6000  1 Ga 2.49, 6 Fe 2.55-2.61
Ga: 0.3333 0.6667 0.9000  1 Ga 2.49, 6 Fe 2.55-2.61
Ga: 0.6667 0.3333 0.1000  1 Ga 2.49, 6 Fe 2.55-2.61
Ga: 0.6667 0.3333 0.4000  1 Ga 2.49, 6 Fe 2.55-2.61
Fe: 0.0000 0.5000 0.0000  8 Fe 2.42-2.46, 2 Ga 2.55
Fe: 0.0000 0.5000 0.5000  8 Fe 2.42-2.46, 2 Ga 2.55
Fe: 0.0276 0.3582 0.7500  8 Fe 2.46-2.60
Fe: 0.0276 0.6694 0.7500  8 Fe 2.46-2.60
Fe: 0.1649 0.3297 0.0117  8 Fe 2.39-2.55, 1 Ga 2.61
Fe: 0.1649 0.3297 0.4883  8 Fe 2.39-2.55, 1 Ga 2.61
Fe: 0.1649 0.8351 0.0117  8 Fe 2.39-2.55, 1 Ga 2.61
Fe: 0.1649 0.8351 0.4883  8 Fe 2.39-2.55, 1 Ga 2.61
Fe: 0.3297 0.1649 0.5117  8 Fe 2.39-2.55, 1 Ga 2.61
Fe: 0.3297 0.1649 0.9883  8 Fe 2.39-2.55, 1 Ga 2.61
Fe: 0.3306 0.3582 0.7500  8 Fe 2.46-2.60
Fe: 0.3306 0.9724 0.7500  8 Fe 2.46-2.60
Fe: 0.3582 0.0276 0.2500  8 Fe 2.46-2.60
Fe: 0.3582 0.3306 0.2500  8 Fe 2.46-2.60
Fe: 0.5000 0.0000 0.0000  8 Fe 2.42-2.46, 2 Ga 2.55
Fe: 0.5000 0.0000 0.5000  8 Fe 2.42-2.46, 2 Ga 2.55
Fe: 0.5000 0.5000 0.0000  8 Fe 2.42-2.46, 2 Ga 2.55
Fe: 0.5000 0.5000 0.5000  8 Fe 2.42-2.46, 2 Ga 2.55
Fe: 0.6418 0.6694 0.7500  8 Fe 2.46-2.60
Fe: 0.6418 0.9724 0.7500  8 Fe 2.46-2.60
Fe: 0.6694 0.0276 0.2500  8 Fe 2.46-2.60
Fe: 0.6694 0.6418 0.2500  8 Fe 2.46-2.60
Fe: 0.6703 0.8351 0.0117  8 Fe 2.39-2.55, 1 Ga 2.61
Fe: 0.6703 0.8351 0.4883  8 Fe 2.39-2.55, 1 Ga 2.61
Fe: 0.8351 0.1649 0.5117  8 Fe 2.39-2.55, 1 Ga 2.61
Fe: 0.8351 0.1649 0.9883  8 Fe 2.39-2.55, 1 Ga 2.61
Fe: 0.8351 0.6703 0.5117  8 Fe 2.39-2.55, 1 Ga 2.61
Fe: 0.8351 0.6703 0.9883  8 Fe 2.39-2.55, 1 Ga 2.61
Fe: 0.9724 0.3306 0.2500  8 Fe 2.46-2.60
Fe: 0.9724 0.6418 0.2500  8 Fe 2.46-2.60

# 2
A plane-wave DFT calculation with PBE was carried out for a relaxed structure of Mg2Sc2CuAgAu2.

Calculated values
Final energy = -4.122 eV per atom

Unit cell a=4.6897 b=4.6897 c=6.6387 alpha=90.00 beta=90.00 gamma=90.00
Closest atoms and distances in Å follow each position.
Element x y z (fractional)
Mg: 0.0000 0.5000 0.2449  2 Cu 2.85, 4 Au 2.85-2.89, 2 Ag 2.89
Mg: 0.5000 0.0000 0.7551  2 Cu 2.85, 4 Au 2.85-2.89, 2 Ag 2.89
Sc: 0.0000 0.5000 0.7592  2 Cu 2.84, 4 Au 2.84-2.91, 2 Ag 2.91
Sc: 0.5000 0.0000 0.2408  2 Cu 2.84, 4 Au 2.84-2.91, 2 Ag 2.91
Cu: 0.5000 0.5000 0.0000  4 Sc 2.84, 4 Mg 2.85
Ag: 0.0000 0.0000 0.5000  4 Mg 2.89, 4 Sc 2.91
Au: 0.0000 0.0000 0.0000  4 Sc 2.84, 4 Mg 2.85
Au: 0.5000 0.5000 0.5000  4 Mg 2.89, 4 Sc 2.91

# 3
A plane-wave DFT calculation with PBE was carried out for a relaxed structure of NbTc2Sn.

Calculated values
Final energy = -8.480 eV per atom

Unit cell a=4.5744 b=4.5744 c=4.5744 alpha=60.00 beta=60.00 gamma=60.00
Closest atoms and distances in Å follow each position.
Element x y z (fractional)
Nb: 0.0000 0.0000 0.0000  4 Sn 2.80, 4 Tc 2.80
Tc: 0.2500 0.2500 0.2500  4 Nb 2.80, 4 Tc 2.80
Tc: 0.5000 0.5000 0.5000  4 Sn 2.80, 4 Tc 2.80
Sn: 0.7500 0.7500 0.7500  4 Nb 2.80, 4 Tc 2.80

# 4
A plane-wave DFT calculation with PBE was carried out for a relaxed structure of TbBeB.

Calculated values
Final energy = -4.999 eV per atom

Unit cell a=4.0349 b=4.0349 c=4.0349 alpha=60.00 beta=60.00 gamma=60.00
Closest atoms and distances in Å follow each position.
Element x y z (fractional)
Tb: 0.0000 0.0000 0.0000  4 B 2.47
Be: 0.5000 0.5000 0.5000  4 B 2.47
B: 0.7500 0.7500 0.7500  4 Tb 2.47, 4 Be 2.47

# 5
A plane-wave DFT calculation with PBE was carried out for a relaxed structure of PrCoPd.

Calculated values
Energy of formation = 0.476 eV/atom

Unit cell a=4.5775 b=4.5775 c=4.5775 alpha=60.00 beta=60.00 gamma=60.00
Closest atoms and distances in Å follow each position.
Element x y z (fractional)
Pr: 0.0000 0.0000 0.0000  4 Co 2.80, 4 Pd 2.80
Co: 0.7500 0.7500 0.7500  4 Pr 2.80
Pd: 0.2500 0.2500 0.2500  4 Pr 2.80

# 6
A plane-wave DFT calculation with PBE was carried out for a relaxed structure of NdCuTePbSe2.

Calculated values
Final energy = -4.626 eV per atom

Unit cell a=7.3805 b=7.3805 c=11.4051 alpha=90.00 beta=90.00 gamma=147.06
Closest atoms and distances in Å follow each position.
Element x y z (fractional)
Nd: 0.0000 0.0000 0.0000  4 Se 2.96, 2 Te 3.15
Nd: 0.0000 0.0000 0.5000  4 Se 2.96, 2 Te 3.15
Cu: 0.4744 0.5256 0.7500  2 Se 2.49, 2 Te 2.70
Cu: 0.5256 0.4744 0.2500  2 Se 2.49, 2 Te 2.70
Te: 0.0952 0.9048 0.7500  2 Cu 2.70
Te: 0.9048 0.0952 0.2500  2 Cu 2.70
Pb: 0.2194 0.7806 0.2500  4 Se 3.11, 2 Te 3.36, 2 Cu 3.45
Pb: 0.7806 0.2194 0.7500  4 Se 3.11, 2 Te 3.36, 2 Cu 3.45
Se: 0.3660 0.6340 0.5778  1 Cu 2.49
Se: 0.3660 0.6340 0.9222  1 Cu 2.49
Se: 0.6340 0.3660 0.0778  1 Cu 2.49
Se: 0.6340 0.3660 0.4222  1 Cu 2.49